one) The following is a GGA-PBE calculation of crystalline Pm8Ni2Ge at its relaxed geometry, from the Alexandria database.

Unit cell a=8.415 b=13.111 c=5.909 alpha=90.00 beta=104.98 gamma=90.00
Space group Cm (No. 8)
Symmetry-distinct sites (fractional):
1 Pm 0.000 0.000 0.000
2 Pm 0.094 0.368 0.814
3 Pm 0.174 0.129 0.607
4 Pm 0.244 0.500 0.380
5 Pm 0.387 0.229 0.203
6 Ni 0.379 0.304 0.688
7 Ge 0.373 0.000 0.062

two) The following is a GGA-PBE calculation of crystalline Pm8Ni2Ge at its relaxed geometry, from the Alexandria database.

Unit cell a=18.454 b=5.140 c=6.890 alpha=90.00 beta=111.24 gamma=90.00
Space group C2/m (No. 12)
Symmetry-distinct sites (fractional):
1 Pm 0.034 0.000 0.292
2 Pm 0.096 0.500 0.972
3 Pm 0.181 0.500 0.507
4 Pm 0.197 0.000 0.848
5 Ni 0.168 0.000 0.220
6 Ge 0.000 0.500 0.500

What are the relative energies? In meV/atom: one) 82; two) 0.

one) The following is a GGA-PBE calculation of crystalline Pm3NiGe2 at its relaxed geometry, from the Alexandria database.

Unit cell a=7.9740 b=7.9740 c=17.3016 alpha=90.00 beta=90.00 gamma=120.00
Space group R-3c (No. 167, hexagonal axes)
Symmetry-distinct sites (fractional):
1 Pm 0.0000 0.3030 0.2500
2 Ni 0.0000 0.0000 0.0000
3 Ge 0.0000 0.0000 0.1405

two) The following is a GGA-PBE calculation of crystalline Pm3NiGe2 at its relaxed geometry, from the Alexandria database.

Unit cell a=11.733 b=4.267 c=11.639 alpha=90.00 beta=90.00 gamma=90.00
Space group Pnma (No. 62)
Symmetry-distinct sites (fractional):
1 Pm 0.058 0.250 0.127
2 Pm 0.118 0.750 0.557
3 Pm 0.217 0.250 0.804
4 Ni 0.129 0.250 0.368
5 Ge 0.022 0.750 0.313
6 Ge 0.195 0.750 0.995

What are the relative energies? In meV/atom: one) 194; two) 0.

one) The following is a GGA-PBE calculation of crystalline PmNi3Ge2 at its relaxed geometry, from the Alexandria database.

Unit cell a=15.045 b=3.912 c=7.169 alpha=90.00 beta=115.25 gamma=90.00
Space group C2/m (No. 12)
Symmetry-distinct sites (fractional):
1 Pm 0.152 0.000 0.070
2 Ni 0.038 0.000 0.377
3 Ni 0.089 0.500 0.658
4 Ni 0.186 0.500 0.447
5 Ge 0.022 0.500 0.191
6 Ge 0.188 0.000 0.674

two) The following is a GGA-PBE calculation of crystalline PmNi3Ge2 at its relaxed geometry, from the Alexandria database.

Unit cell a=15.771 b=3.910 c=9.542 alpha=90.00 beta=107.36 gamma=90.00
Space group C2/m (No. 12)
Symmetry-distinct sites (fractional):
1 Pm 0.000 0.000 0.000
2 Pm 0.156 0.000 0.701
3 Ni 0.000 0.500 0.500
4 Ni 0.048 0.000 0.344
5 Ni 0.126 0.500 0.204
6 Ni 0.177 0.500 0.970
7 Ni 0.214 0.000 0.390
8 Ge 0.031 0.500 0.774
9 Ge 0.141 0.500 0.455
10 Ge 0.200 0.000 0.129

What are the relative energies? In meV/atom: one) 44; two) 0.

one) The following is a GGA-PBE calculation of crystalline Pr2Ni5Ge3 at its relaxed geometry, from the Alexandria database.

Unit cell a=4.055 b=25.835 c=6.618 alpha=90.00 beta=90.00 gamma=90.00
Space group Cmc2_1 (No. 36)
Symmetry-distinct sites (fractional):
1 Pr 0.000 0.022 0.000
2 Pr 0.000 0.325 0.009
3 Ni 0.000 0.085 0.553
4 Ni 0.000 0.210 0.146
5 Ni 0.000 0.233 0.765
6 Ni 0.000 0.371 0.506
7 Ni 0.000 0.429 0.821
8 Ge 0.000 0.121 0.222
9 Ge 0.000 0.276 0.449
10 Ge 0.000 0.436 0.204

two) The following is a GGA-PBE calculation of crystalline Pr2Ni5Ge3 at its relaxed geometry, from the Alexandria database.

Unit cell a=9.574 b=11.930 c=5.852 alpha=90.00 beta=90.00 gamma=90.00
Space group Ibam (No. 72)
Symmetry-distinct sites (fractional):
1 Pr 0.245 0.129 0.000
2 Ni 0.000 0.267 0.250
3 Ni 0.000 0.500 0.250
4 Ni 0.116 0.128 0.500
5 Ge 0.000 0.000 0.250
6 Ge 0.135 0.383 0.000

What are the relative energies? In meV/atom: one) 116; two) 0.

one) The following is a GGA-PBE calculation of crystalline Pr2Ni2Ge3 at its relaxed geometry, from the Alexandria database.

Unit cell a=10.242 b=4.189 c=6.781 alpha=90.00 beta=111.21 gamma=90.00
Space group C2/m (No. 12)
Symmetry-distinct sites (fractional):
1 Pr 0.149 0.000 0.285
2 Ni 0.148 0.000 0.776
3 Ge 0.000 0.500 0.500
4 Ge 0.115 0.500 0.940

two) The following is a GGA-PBE calculation of crystalline Pr2Ni2Ge3 at its relaxed geometry, from the Alexandria database.

Unit cell a=4.306 b=18.280 c=6.874 alpha=90.00 beta=90.00 gamma=90.00
Space group Cmcm (No. 63)
Symmetry-distinct sites (fractional):
1 Pr 0.000 0.052 0.250
2 Pr 0.000 0.160 0.750
3 Ni 0.000 0.303 0.556
4 Ge 0.000 0.222 0.250
5 Ge 0.000 0.434 0.062

What are the relative energies? In meV/atom: one) 127; two) 0.

one) The following is a GGA-PBE calculation of crystalline PrNi4Ge2 at its relaxed geometry, from the Alexandria database.

Unit cell a=16.619 b=4.098 c=6.337 alpha=90.00 beta=90.00 gamma=90.00
Space group Pnma (No. 62)
Symmetry-distinct sites (fractional):
1 Pr 0.140 0.250 0.005
2 Ni 0.021 0.750 0.138
3 Ni 0.066 0.250 0.519
4 Ni 0.187 0.750 0.676
5 Ni 0.208 0.750 0.285
6 Ge 0.041 0.750 0.736
7 Ge 0.212 0.250 0.476

two) The following is a GGA-PBE calculation of crystalline PrNi4Ge2 at its relaxed geometry, from the Alexandria database.

Unit cell a=4.0513 b=4.0513 c=22.8533 alpha=90.00 beta=90.00 gamma=120.00
Space group R-3m (No. 166, hexagonal axes)
Symmetry-distinct sites (fractional):
1 Pr 0.0000 0.0000 0.0000
2 Ni 0.0000 0.0000 0.1429
3 Ni 0.0000 0.0000 0.4431
4 Ge 0.0000 0.0000 0.2458

What are the relative energies? In meV/atom: one) 107; two) 0.

one) The following is a GGA-PBE calculation of crystalline Ni2GePt2 at its relaxed geometry, from the Alexandria database.

Unit cell a=4.1799 b=4.1799 c=9.6924 alpha=90.00 beta=90.00 gamma=120.00
Space group P6_3/mmc (No. 194)
Symmetry-distinct sites (fractional):
1 Ni 0.3333 0.6667 0.1067
2 Ge 0.0000 0.0000 0.2500
3 Pt 0.0000 0.0000 0.0000
4 Pt 0.3333 0.6667 0.7500

two) The following is a GGA-PBE calculation of crystalline Ni2GePt2 at its relaxed geometry, from the Alexandria database.

Unit cell a=6.508 b=6.508 c=3.519 alpha=90.00 beta=90.00 gamma=90.00
Space group P4/mbm (No. 127)
Symmetry-distinct sites (fractional):
1 Ni 0.147 0.353 0.000
2 Ge 0.000 0.000 0.500
3 Pt 0.149 0.649 0.500

three) The following is a GGA-PBE calculation of crystalline Ni2GePt2 at its relaxed geometry, from the Alexandria database.

Unit cell a=6.038 b=6.038 c=3.865 alpha=90.00 beta=90.00 gamma=90.00
Space group P4/mbm (No. 127)
Symmetry-distinct sites (fractional):
1 Ni 0.138 0.362 0.000
2 Ge 0.000 0.000 0.000
3 Pt 0.162 0.662 0.500

What are the relative energies? In meV/atom: one) 50; two) 68; three) 0.

one) The following is a GGA-PBE calculation of crystalline NiGe2Pt at its relaxed geometry, from the Alexandria database.

Unit cell a=6.204 b=6.204 c=6.204 alpha=90.00 beta=90.00 gamma=90.00
Space group Fm-3m (No. 225)
Symmetry-distinct sites (fractional):
1 Ni 0.000 0.000 0.000
2 Ge 0.250 0.250 0.250
3 Pt 0.000 0.000 0.500

two) The following is a GGA-PBE calculation of crystalline NiGe2Pt at its relaxed geometry, from the Alexandria database.

Unit cell a=3.4993 b=3.4993 c=18.2361 alpha=90.00 beta=90.00 gamma=120.00
Space group R3m (No. 160, hexagonal axes)
Symmetry-distinct sites (fractional):
1 Ni 0.0000 0.0000 0.0000
2 Ge 0.0000 0.0000 0.4161
3 Ge 0.0000 0.0000 0.5957
4 Pt 0.0000 0.0000 0.8442

three) The following is a GGA-PBE calculation of crystalline NiGe2Pt at its relaxed geometry, from the Alexandria database.

Unit cell a=4.012 b=4.012 c=16.088 alpha=90.00 beta=90.00 gamma=90.00
Space group I-42d (No. 122)
Symmetry-distinct sites (fractional):
1 Ni 0.000 0.000 0.000
2 Ge 0.228 0.250 0.125
3 Pt 0.000 0.000 0.500

What are the relative energies? In meV/atom: one) 70; two) 16; three) 0.

one) The following is a GGA-PBE calculation of crystalline Ni8Ge2Pt at its relaxed geometry, from the Alexandria database.

Unit cell a=3.721 b=6.518 c=11.095 alpha=90.00 beta=90.00 gamma=90.00
Space group Immm (No. 71)
Symmetry-distinct sites (fractional):
1 Ni 0.000 0.000 0.158
2 Ni 0.000 0.226 0.339
3 Ni 0.000 0.292 0.000
4 Ge 0.000 0.500 0.184
5 Pt 0.000 0.500 0.500

two) The following is a GGA-PBE calculation of crystalline Ni8Ge2Pt at its relaxed geometry, from the Alexandria database.

Unit cell a=6.573 b=10.894 c=4.203 alpha=90.00 beta=114.00 gamma=90.00
Space group C2/m (No. 12)
Symmetry-distinct sites (fractional):
1 Ni 0.000 0.227 0.000
2 Ni 0.089 0.500 0.812
3 Ni 0.204 0.113 0.618
4 Ge 0.000 0.310 0.500
5 Pt 0.000 0.000 0.000

What are the relative energies? In meV/atom: one) 0; two) 121.